{
  "formula": "La4Cu5As8",
  "functional": "SCAN",
  "state": "PBEsol geometry",
  "lattice_angstrom": [[5.7468, 0.0000, 0.0000], [0.0000, 2.8722, 9.9700], [0.0000, -2.8722, 9.9700]],
  "species": ["La", "La", "La", "La", "Cu", "Cu", "Cu", "Cu", "Cu", "As", "As", "As", "As", "As", "As", "As", "As"],
  "frac_coords": [[0.0000, 0.0000, 0.0000], [0.0000, 0.2434, 0.2434], [0.5000, 0.5000, 0.5000], [0.5000, 0.7439, 0.7439], [0.2435, 0.1289, 0.6152], [0.2435, 0.6152, 0.1289], [0.5000, 0.0610, 0.0610], [0.7565, 0.1289, 0.6152], [0.7565, 0.6152, 0.1289], [0.0000, 0.4472, 0.4472], [0.0000, 0.7998, 0.7998], [0.2347, 0.3889, 0.8576], [0.2347, 0.8576, 0.3889], [0.5000, 0.2995, 0.2995], [0.5000, 0.9398, 0.9398], [0.7653, 0.3889, 0.8576], [0.7653, 0.8576, 0.3889]],
  "energy_ev_per_cell": -425.7,
  "n_ef_per_ev_cell": 2.5,
  "sg": "Amm2",
  "volume_a3_per_atom": 19.36,
  "magmom_total_mub_per_cell": 0.000
}



{
  "formula": "LaCuAs4",
  "functional": "SCAN",
  "state": "PBEsol geometry",
  "lattice_angstrom": [[0.0000, 3.9252, 3.9252], [3.9252, 0.0000, 3.9252], [3.9252, 3.9252, 0.0000]],
  "species": ["La", "Cu", "As", "As", "As", "As"],
  "frac_coords": [[0.0000, 0.0000, 0.0000], [0.2500, 0.2500, 0.2500], [0.1362, 0.6213, 0.6213], [0.6213, 0.1362, 0.6213], [0.6213, 0.6213, 0.1362], [0.6213, 0.6213, 0.6213]],
  "energy_ev_per_cell": -139.9,
  "n_ef_per_ev_cell": 2.3,
  "sg": "F-43m",
  "volume_a3_per_atom": 20.16,
  "magmom_total_mub_per_cell": 0.000
}



{
  "formula": "Li2CuAs",
  "functional": "SCAN",
  "state": "PBEsol geometry",
  "lattice_angstrom": [[4.1216, 0.0000, 0.0000], [-2.0608, 3.5694, 0.0000], [0.0000, 0.0000, 7.8852]],
  "species": ["Li", "Li", "Li", "Li", "Cu", "Cu", "As", "As"],
  "frac_coords": [[0.3333, 0.6667, 0.0850], [0.3333, 0.6667, 0.4150], [0.6667, 0.3333, 0.5850], [0.6667, 0.3333, 0.9150], [0.0000, 0.0000, 0.2500], [0.0000, 0.0000, 0.7500], [0.3333, 0.6667, 0.7500], [0.6667, 0.3333, 0.2500]],
  "energy_ev_per_cell": -84.9,
  "n_ef_per_ev_cell": 0.5,
  "sg": "P6_3/mmc",
  "volume_a3_per_atom": 14.50,
  "magmom_total_mub_per_cell": 0.000
}



{
  "formula": "Li3CuAs",
  "functional": "SCAN",
  "state": "PBEsol geometry",
  "lattice_angstrom": [[4.6762, 0.0000, 0.0000], [0.0000, 4.6762, 0.0000], [0.0000, 0.0000, 4.6762]],
  "species": ["Li", "Li", "Li", "Cu", "As"],
  "frac_coords": [[0.0000, 0.0000, 0.5000], [0.0000, 0.5000, 0.0000], [0.5000, 0.0000, 0.0000], [0.5000, 0.5000, 0.5000], [0.0000, 0.0000, 0.0000]],
  "energy_ev_per_cell": -42.4,
  "n_ef_per_ev_cell": 1.4,
  "sg": "Pm-3m",
  "volume_a3_per_atom": 20.45,
  "magmom_total_mub_per_cell": 0.000
}



{
  "formula": "LiCuAs",
  "functional": "SCAN",
  "state": "PBEsol geometry",
  "lattice_angstrom": [[-1.6653, 1.6653, 3.7023], [1.6653, -1.6653, 3.7023], [1.6653, 1.6653, -3.7023]],
  "species": ["Li", "Cu", "As"],
  "frac_coords": [[0.0000, 0.0000, 0.0000], [0.3340, 0.3340, 0.0000], [0.6707, 0.6707, 0.0000]],
  "energy_ev_per_cell": -38.5,
  "n_ef_per_ev_cell": 0.6,
  "sg": "I4mm",
  "volume_a3_per_atom": 13.69,
  "magmom_total_mub_per_cell": 0.000
}



{
  "formula": "Li2CuAs2",
  "functional": "SCAN",
  "state": "PBEsol geometry",
  "lattice_angstrom": [[6.2406, 0.0000, 0.0000], [0.0000, 6.2406, 0.0000], [0.0000, 0.0000, 4.1509]],
  "species": ["Li", "Li", "Li", "Li", "Cu", "Cu", "As", "As", "As", "As"],
  "frac_coords": [[0.1658, 0.3342, 0.0000], [0.3342, 0.8342, 0.0000], [0.6658, 0.1658, 0.0000], [0.8342, 0.6658, 0.0000], [0.0000, 0.0000, 0.5000], [0.5000, 0.5000, 0.5000], [0.1416, 0.6416, 0.5000], [0.3584, 0.1416, 0.5000], [0.6416, 0.8584, 0.5000], [0.8584, 0.3584, 0.5000]],
  "energy_ev_per_cell": -125.3,
  "n_ef_per_ev_cell": 2.4,
  "sg": "P4/mbm",
  "volume_a3_per_atom": 16.17,
  "magmom_total_mub_per_cell": 0.000
}



{
  "formula": "Li2CuAs",
  "functional": "SCAN",
  "state": "PBEsol geometry",
  "lattice_angstrom": [[2.5793, -3.7685, 0.0000], [2.5793, 3.7685, 0.0000], [0.0000, 0.0000, 2.7941]],
  "species": ["Li", "Li", "Cu", "As"],
  "frac_coords": [[0.0000, 0.5000, 0.0000], [0.5000, 0.0000, 0.0000], [0.0000, 0.0000, 0.5000], [0.5000, 0.5000, 0.5000]],
  "energy_ev_per_cell": -41.3,
  "n_ef_per_ev_cell": 1.3,
  "sg": "Cmmm",
  "volume_a3_per_atom": 13.58,
  "magmom_total_mub_per_cell": 0.000
}



{
  "formula": "LiCuAs",
  "functional": "SCAN",
  "state": "PBEsol geometry",
  "lattice_angstrom": [[0.0000, 2.8103, 2.8103], [2.8103, 0.0000, 2.8103], [2.8103, 2.8103, 0.0000]],
  "species": ["Li", "Cu", "As"],
  "frac_coords": [[0.0000, 0.0000, 0.0000], [0.2500, 0.2500, 0.2500], [0.5000, 0.5000, 0.5000]],
  "energy_ev_per_cell": -38.9,
  "n_ef_per_ev_cell": 1.2,
  "sg": "F-43m",
  "volume_a3_per_atom": 14.80,
  "magmom_total_mub_per_cell": 0.000
}



> Which formula does entry 6 have?

Li2CuAs2



Please write out number 5 again, unchanged.
{
  "formula": "LiCuAs",
  "functional": "SCAN",
  "state": "PBEsol geometry",
  "lattice_angstrom": [[-1.6653, 1.6653, 3.7023], [1.6653, -1.6653, 3.7023], [1.6653, 1.6653, -3.7023]],
  "species": ["Li", "Cu", "As"],
  "frac_coords": [[0.0000, 0.0000, 0.0000], [0.3340, 0.3340, 0.0000], [0.6707, 0.6707, 0.0000]],
  "energy_ev_per_cell": -38.5,
  "n_ef_per_ev_cell": 0.6,
  "sg": "I4mm",
  "volume_a3_per_atom": 13.69,
  "magmom_total_mub_per_cell": 0.000
}